Entry 1:
A plane-wave DFT calculation with SCAN was carried out for a crystal of Cr5Ir relaxed with PBEsol.

Cell and atoms, written as CIF:
```
data_Cr5Ir
_space_group_name_H-M_alt 'P -6 2 m'
_space_group_IT_number 189
_space_group_name_Hall 'P -6 -2'
_cell_length_a 4.4153
_cell_length_b 4.4153
_cell_length_c 4.2183
_cell_angle_alpha 90.00
_cell_angle_beta 90.00
_cell_angle_gamma 120.00
loop_
_atom_site_label
_atom_site_type_symbol
_atom_site_fract_x
_atom_site_fract_y
_atom_site_fract_z
_atom_site_occupancy
Cr1 Cr 0.0000 0.3394 0.0000 1
Cr2 Cr 0.3333 0.6667 0.5000 1
Ir1 Ir 0.0000 0.0000 0.5000 1
```

* formation energy: 5.359 kcal/mol of atoms
* relative energy among the computed polymorphs: 367 meV/atom
* crystal system: hexagonal
* uncorrected energy: -26.938 eV per atom
* total magnetization: 0.00 μB/f.u.

Entry 2:
A plane-wave DFT calculation with SCAN was carried out for a crystal of LiTe2Se relaxed with PBEsol.

Cell and atoms, written as CIF:
```
data_LiTe2Se
_space_group_name_H-M_alt 'I 4/m m m'
_space_group_IT_number 139
_space_group_name_Hall '-I 4 2'
_cell_length_a 5.797
_cell_length_b 5.797
_cell_length_c 5.932
_cell_angle_alpha 90.00
_cell_angle_beta 90.00
_cell_angle_gamma 90.00
loop_
_atom_site_label
_atom_site_type_symbol
_atom_site_fract_x
_atom_site_fract_y
_atom_site_fract_z
_atom_site_occupancy
Li1 Li 0.000 0.000 0.000 1
Te1 Te 0.000 0.500 0.000 1
Se1 Se 0.000 0.000 0.500 1
```

* crystal system: tetragonal
* uncorrected energy: -24.714 eV per atom
* total magnetization: 0.00 μB/f.u.

Entry 3:
A plane-wave DFT calculation with SCAN was carried out for a crystal of ZnFeMo2 relaxed with PBEsol.

Cell and atoms, written as CIF:
```
data_ZnFeMo2
_space_group_name_H-M_alt 'P 4/m m m'
_space_group_IT_number 123
_space_group_name_Hall '-P 4 2'
_cell_length_a 2.669
_cell_length_b 2.669
_cell_length_c 7.541
_cell_angle_alpha 90.00
_cell_angle_beta 90.00
_cell_angle_gamma 90.00
loop_
_atom_site_label
_atom_site_type_symbol
_atom_site_fract_x
_atom_site_fract_y
_atom_site_fract_z
_atom_site_occupancy
Zn1 Zn 0.000 0.000 0.000 1
Fe1 Fe 0.000 0.000 0.500 1
Mo1 Mo 0.500 0.500 0.272 1
```

* formation energy: 4.577 kcal/mol of atoms
* crystal system: tetragonal
* uncorrected energy: -25.155 eV per atom
* total magnetization: 0.00 μB/f.u.

Entry 4:
A plane-wave DFT calculation with SCAN was carried out for a crystal of Zr4Cd5 relaxed with PBEsol.

Cell and atoms, written as CIF:
```
data_Zr4Cd5
_space_group_name_H-M_alt 'P 63/m c m'
_space_group_IT_number 193
_space_group_name_Hall '-P 6c 2'
_cell_length_a 8.5471
_cell_length_b 8.5471
_cell_length_c 5.8974
_cell_angle_alpha 90.00
_cell_angle_beta 90.00
_cell_angle_gamma 120.00
loop_
_atom_site_label
_atom_site_type_symbol
_atom_site_fract_x
_atom_site_fract_y
_atom_site_fract_z
_atom_site_occupancy
Zr1 Zr 0.0000 0.0000 0.0000 1
Zr2 Zr 0.0000 0.3363 0.2500 1
Cd1 Cd 0.0000 0.3296 0.7500 1
Cd2 Cd 0.3333 0.6667 0.0000 1
```

* formation energy: -3.000 kcal/mol of atoms
* relative energy among the computed polymorphs: 26 meV/atom
* crystal system: hexagonal
* uncorrected energy: -30.671 eV per atom
* total magnetization: 0.00 μB/f.u.

Entry 5:
A plane-wave DFT calculation with SCAN was carried out for a crystal of OsRh2Cl relaxed with PBEsol.

Cell and atoms, written as CIF:
```
data_OsRh2Cl
_space_group_name_H-M_alt 'F m -3 m'
_space_group_IT_number 225
_space_group_name_Hall '-F 4 2 3'
_cell_length_a 6.124
_cell_length_b 6.124
_cell_length_c 6.124
_cell_angle_alpha 90.00
_cell_angle_beta 90.00
_cell_angle_gamma 90.00
loop_
_atom_site_label
_atom_site_type_symbol
_atom_site_fract_x
_atom_site_fract_y
_atom_site_fract_z
_atom_site_occupancy
Os1 Os 0.000 0.000 0.000 1
Rh1 Rh 0.250 0.250 0.250 1
Cl1 Cl 0.000 0.000 0.500 1
```

* relative energy among the computed polymorphs: 331 meV/atom
* crystal system: cubic
* uncorrected energy: -35.874 eV per atom
* total magnetization: 0.00 μB/f.u.

Entry 6:
A plane-wave DFT calculation with SCAN was carried out for a crystal of Te2IrCl relaxed with PBEsol.

Cell and atoms, written as CIF:
```
data_Te2IrCl
_space_group_name_H-M_alt 'I m m m'
_space_group_IT_number 71
_space_group_name_Hall '-I 2 2'
_cell_length_a 3.509
_cell_length_b 6.625
_cell_length_c 8.517
_cell_angle_alpha 90.00
_cell_angle_beta 90.00
_cell_angle_gamma 90.00
loop_
_atom_site_label
_atom_site_type_symbol
_atom_site_fract_x
_atom_site_fract_y
_atom_site_fract_z
_atom_site_occupancy
Te1 Te 0.000 0.000 0.219 1
Ir1 Ir 0.000 0.500 0.500 1
Cl1 Cl 0.000 0.500 0.000 1
```

* relative energy among the computed polymorphs: 260 meV/atom
* crystal system: orthorhombic
* uncorrected energy: -38.122 eV per atom
* total magnetization: 0.00 μB/f.u.

Entry 7:
A plane-wave DFT calculation with SCAN was carried out for a crystal of Ba8Cu4Hg4O17 relaxed with PBEsol.

Cell and atoms, written as CIF:
```
data_Ba8Cu4Hg4O17
_space_group_name_H-M_alt 'C 1 2/m 1'
_space_group_IT_number 12
_cell_length_a 15.258
_cell_length_b 7.633
_cell_length_c 10.259
_cell_angle_alpha 90.00
_cell_angle_beta 111.84
_cell_angle_gamma 90.00
loop_
_space_group_symop_operation_xyz
'x,y,z'
'-x,-y,-z'
'-x,y,-z'
'x,-y,z'
'x+1/2,y+1/2,z'
'-x+1/2,-y+1/2,-z'
'-x+1/2,y+1/2,-z'
'x+1/2,-y+1/2,z'
loop_
_atom_site_label
_atom_site_type_symbol
_atom_site_fract_x
_atom_site_fract_y
_atom_site_fract_z
_atom_site_occupancy
Ba1 Ba 0.070 0.000 0.281 1
Ba2 Ba 0.073 0.500 0.294 1
Ba3 Ba 0.177 0.000 0.708 1
Ba4 Ba 0.177 0.500 0.710 1
Cu1 Cu 0.000 0.247 0.500 1
Cu2 Cu 0.250 0.250 0.500 1
Hg1 Hg 0.119 0.240 0.000 1
O1 O 0.000 0.000 0.000 1
O2 O 0.000 0.000 0.500 1
O3 O 0.000 0.500 0.500 1
O4 O 0.073 0.253 0.788 1
O5 O 0.125 0.255 0.501 1
O6 O 0.179 0.254 0.212 1
O7 O 0.250 0.000 0.500 1
```

* crystal system: monoclinic
* uncorrected energy: -24.655 eV per atom
* total magnetization: 1.33 μB/f.u.

Entry 8:
A plane-wave DFT calculation with SCAN was carried out for a crystal of LiTc2Sb relaxed with PBEsol.

Cell and atoms, written as CIF:
```
data_LiTc2Sb
_space_group_name_H-M_alt 'P 1 2/m 1'
_space_group_IT_number 10
_cell_length_a 4.253
_cell_length_b 3.166
_cell_length_c 4.621
_cell_angle_alpha 90.00
_cell_angle_beta 102.77
_cell_angle_gamma 90.00
loop_
_space_group_symop_operation_xyz
'x,y,z'
'-x,-y,-z'
'-x,y,-z'
'x,-y,z'
loop_
_atom_site_label
_atom_site_type_symbol
_atom_site_fract_x
_atom_site_fract_y
_atom_site_fract_z
_atom_site_occupancy
Li1 Li 0.000 0.000 0.000 1
Tc1 Tc 0.000 0.500 0.500 1
Tc2 Tc 0.500 0.000 0.500 1
Sb1 Sb 0.500 0.500 0.000 1
```

* crystal system: monoclinic
* uncorrected energy: -27.204 eV per atom
* total magnetization: 0.00 μB/f.u.

What is the total magnetization in the sixth record?
0.00 μB/f.u.

Look up the total magnetization of the seventh one.
1.33 μB/f.u.

uncorrected energy of number 4 (Zr4Cd5)?
-30.671 eV per atom

Which of these has the highest uncorrected energy?
Ba8Cu4Hg4O17